Record 1
Computed, not measured: AlCo3O after structural relaxation at the PBE with a Hubbard U level of DFT.

POSCAR file:
```
AlCo3O
1.0
3.8257 0.0000 0.0000
0.0000 3.8257 0.0000
0.0000 0.0000 3.8257
Co Al O
3 1 1
direct
0.0000 0.0000 0.5000 Co
0.5000 0.0000 0.0000 Co
0.0000 0.5000 0.0000 Co
0.5000 0.5000 0.5000 Al
0.0000 0.0000 0.0000 O
```

## Properties
**Density of states at the Fermi level**: 0.53 states/eV/f.u.

=====

Record 2
Computed, not measured: AlCo3O after structural relaxation at the PBE with a Hubbard U level of DFT.

POSCAR file:
```
AlCo3O
1.0
4.3100 0.0000 0.0000
0.0000 4.3100 0.0000
0.0000 0.0000 4.3100
Al Co O
1 3 1
direct
0.0000 0.0000 0.0000 Al
0.0000 0.5000 0.0000 Co
0.0000 0.0000 0.5000 Co
0.5000 0.0000 0.0000 Co
0.5000 0.5000 0.5000 O
```

## Properties
**Density of states at the Fermi level**: 2.99 states/eV/f.u.

=====

Record 3
Computed, not measured: Al2Co2O7 after structural relaxation at the PBE with a Hubbard U level of DFT.

POSCAR file:
```
Al2Co2O7
1.0
3.2174 5.6753 -0.0056
-3.2174 5.6753 -0.0056
0.0000 3.8491 5.3791
O Al Co
14 4 4
direct
0.9034 0.9034 0.3377 O
0.6497 0.1159 0.0717 O
0.9222 0.3418 0.3467 O
0.6582 0.0778 0.6533 O
0.0778 0.6582 0.6533 O
0.8841 0.3503 0.9283 O
0.3801 0.3801 0.3694 O
0.6665 0.6665 0.1260 O
0.3503 0.8841 0.9283 O
0.0966 0.0966 0.6623 O
0.6199 0.6199 0.6306 O
0.3335 0.3335 0.8740 O
0.3418 0.9222 0.3467 O
0.1159 0.6497 0.0717 O
0.5000 0.5000 0.5000 Al
0.0000 0.5000 0.5000 Al
0.5000 0.5000 0.0000 Al
0.5000 0.0000 0.5000 Al
0.0000 0.0000 0.0000 Co
0.5000 0.0000 0.0000 Co
0.0000 0.0000 0.5000 Co
0.0000 0.5000 0.0000 Co
```

=====

| no. | electronic total energy (eV/cell) |
| --- | --- |
| 1 | -23.00 |
| 2 | -16.00 |
| 3 | -138.05 |